Entry 1:
{"formula": "Pm2Y7Ho2", "functional": "GGA-PBE", "state": "optimized geometry", "e_form_ev_per_atom": 0.1298, "magnetic_moment_mub_per_atom": 0.000, "polymorph_energy_ev_per_atom": 0.023, "lattice_angstrom": [[-3.061, 1.682, 0.917], [-2.564, -3.216, -9.739], [-3.453, -9.987, -0.285]], "species": ["Y", "Ho", "Y", "Y", "Pm", "Y", "Y", "Y", "Pm", "Y", "Ho"], "frac_coords": [[0.168, 0.417, 0.917], [0.299, 0.799, 0.799], [0.832, 0.083, 0.583], [0.621, 0.620, 0.620], [0.500, 0.266, 0.734], [0.832, 0.583, 0.083], [0.168, 0.917, 0.417], [0.379, 0.380, 0.380], [0.500, 0.734, 0.266], [0.000, 0.000, 0.000], [0.701, 0.201, 0.201]]}


Entry 2:
{"formula": "PmPdPb2", "functional": "GGA-PBE", "state": "optimized geometry", "e_form_ev_per_atom": -0.4148, "magnetic_moment_mub_per_atom": 0.000, "polymorph_energy_ev_per_atom": 0.108, "lattice_angstrom": [[-0.613, -4.562, -0.075], [1.809, -0.314, 4.296], [-4.262, 0.542, 1.835]], "species": ["Pd", "Pm", "Pb", "Pb"], "frac_coords": [[0.500, 0.000, 0.000], [0.500, 0.500, 0.500], [0.000, 0.500, 0.000], [0.000, 0.000, 0.500]]}


Entry 3:
{"formula": "ZrTiVPt2", "functional": "GGA-PBE", "state": "optimized geometry", "e_form_ev_per_atom": 0.9559, "magnetic_moment_mub_per_atom": 0.348, "lattice_angstrom": [[-1.345, -1.585, 4.456], [0.327, -4.363, -1.454], [4.717, -0.109, 1.385]], "species": ["Pt", "Pt", "Zr", "Ti", "V"], "frac_coords": [[0.000, 0.000, 0.500], [0.500, 0.000, 0.000], [0.000, 0.000, 0.000], [0.500, 0.500, 0.500], [0.000, 0.500, 0.000]]}


Entry 4:
{"formula": "Ho4Hg2C", "functional": "GGA-PBE", "state": "optimized geometry", "e_form_ev_per_atom": -0.2505, "magnetic_moment_mub_per_atom": 0.000, "polymorph_energy_ev_per_atom": 0.105, "lattice_angstrom": [[-1.300, 1.511, 6.037], [-5.053, -4.205, -0.036], [5.947, -7.142, -0.532]], "species": ["C", "Hg", "Ho", "Ho", "Ho", "Ho", "C", "Hg", "Hg", "Ho", "Ho", "Ho", "Ho", "Hg"], "frac_coords": [[0.765, 0.250, 0.817], [0.209, 0.250, 0.426], [0.497, 0.997, 0.270], [0.943, 0.250, 0.646], [0.503, 0.497, 0.730], [0.057, 0.750, 0.354], [0.235, 0.750, 0.183], [0.791, 0.750, 0.574], [0.340, 0.250, 0.965], [0.497, 0.503, 0.270], [0.503, 0.003, 0.730], [0.085, 0.750, 0.922], [0.915, 0.250, 0.078], [0.660, 0.750, 0.035]]}